The following is a PBE-GGA calculation of Ti2Cu3 after structural relaxation, from Alexandria.

Unit cell a=7.4736 b=7.4736 c=7.4736 alpha=155.83 beta=155.83 gamma=34.44
Site moments in Bohr magnetons follow the coordinates.
Fractional coordinates of all 5 atoms:
Ti 0.6048 0.6048 0.0000  0.35
Ti 0.3952 0.3952 0.0000  0.35
Cu 0.0000 0.0000 0.0000  0.06
Cu 0.7947 0.7947 0.0000  0.02
Cu 0.2053 0.2053 0.0000  0.02

Output
Crystal system ... tetragonal
DFT formation energy ... -0.0803 eV per atom
Total magnetization ... 0.94 Bohr magnetons per cell
Uncorrected energy ... -28.48 eV per cell

***

The following is a PBE-GGA calculation of TiCu after structural relaxation, from Alexandria.

Unit cell a=4.9677 b=4.9676 c=5.1322 alpha=90.00 beta=90.00 gamma=90.00
Site moments in Bohr magnetons follow the coordinates.
Fractional coordinates of all 8 atoms:
Ti 0.8096 0.1904 0.0000  0.24
Ti 0.3096 0.3096 0.5000  0.24
Ti 0.6904 0.6904 0.5000  0.24
Ti 0.1904 0.8096 0.0000  0.24
Cu 0.6768 0.6768 0.0000  0.02
Cu 0.1768 0.8232 0.5000  0.02
Cu 0.8232 0.1768 0.5000  0.02
Cu 0.3232 0.3232 0.0000  0.02

Output
Crystal system ... tetragonal
DFT formation energy ... 0.2986 eV per atom
Total magnetization ... 1.15 Bohr magnetons per cell
Uncorrected energy ... -45.58 eV per cell

***

The following is a PBE-GGA calculation of Ti3Cu5 after structural relaxation, from Alexandria.

Unit cell a=4.3779 b=4.3779 c=6.5284 alpha=104.67 beta=104.67 gamma=104.15
Fractional coordinates of all 8 atoms:
Ti 0.7620 0.7620 0.5241
Ti 0.5000 0.5000 0.0000
Ti 0.2380 0.2380 0.4759
Cu 0.6170 0.1170 0.2341
Cu 0.0000 0.0000 0.0000
Cu 0.3830 0.8830 0.7659
Cu 0.1170 0.6170 0.2341
Cu 0.8830 0.3830 0.7659

Output
Crystal system ... orthorhombic
DFT formation energy ... -0.0405 eV per atom
Total magnetization ... 0.00 Bohr magnetons per cell
Uncorrected energy ... -44.49 eV per cell

***

The following is a PBE-GGA calculation of Ti2Cu3 after structural relaxation, from Alexandria.

Unit cell a=3.1492 b=3.1492 c=14.0193 alpha=90.00 beta=90.00 gamma=90.00
Site moments in Bohr magnetons follow the coordinates.
Fractional coordinates of all 10 atoms:
Ti 0.5000 0.0000 0.4400  -0.01
Ti 0.5000 0.0000 0.8540  0.32
Ti 0.0000 0.5000 0.5600  -0.01
Ti 0.0000 0.5000 0.1461  0.32
Cu 0.5000 0.0000 0.0450  0.02
Cu 0.5000 0.0000 0.2450  0.03
Cu 0.5000 0.0000 0.6631  0.00
Cu 0.0000 0.5000 0.7550  0.03
Cu 0.0000 0.5000 0.9550  0.02
Cu 0.0000 0.5000 0.3369  0.00

Output
Crystal system ... tetragonal
DFT formation energy ... -0.1224 eV per atom
Total magnetization ... 0.83 Bohr magnetons per cell
Uncorrected energy ... -57.38 eV per cell

***

The following is a PBE-GGA calculation of TiCu after structural relaxation, from Alexandria.

Unit cell a=3.1217 b=3.1217 c=5.9214 alpha=90.00 beta=90.00 gamma=90.00
Fractional coordinates of all 4 atoms:
Cu 0.0000 0.5000 0.8898
Cu 0.5000 0.0000 0.1102
Ti 0.0000 0.5000 0.3561
Ti 0.5000 0.0000 0.6439

Output
Crystal system ... tetragonal
DFT formation energy ... -0.1386 eV per atom
Total magnetization ... 0.00 Bohr magnetons per cell
Uncorrected energy ... -24.54 eV per cell

***

The following is a PBE-GGA calculation of TiCu5 after structural relaxation, from Alexandria.

Unit cell a=2.6237 b=2.6237 c=12.8624 alpha=90.00 beta=90.00 gamma=120.00
Fractional coordinates of all 6 atoms:
Ti 0.0000 0.0000 0.0000
Cu 0.6667 0.3333 0.8228
Cu 0.0000 0.0000 0.6601
Cu 0.6667 0.3333 0.5000
Cu 0.0000 0.0000 0.3399
Cu 0.6667 0.3333 0.1772

Output
Crystal system ... hexagonal
DFT formation energy ... 0.0455 eV per atom
Total magnetization ... 0.00 Bohr magnetons per cell
Uncorrected energy ... -28.10 eV per cell

***

Q: DFT formation energy of number 6 (TiCu5)?
A: 0.0455 eV per atom

***

Q: Which of these has the highest uncorrected energy?
A: number 5